# 1
Entry from the Alexandria database: a relaxed BiAsOF2 crystal (PBE).

The space group is No. 123. The formation energy (no corrections) comes out at -0.87 eV/atom. The value obtained for the energy above the most stable polymorph in this dataset is 0.000 eV per atom.

Geometry as CIF:
```
data_BiAsOF2
_cell_length_a 4.4775
_cell_length_b 4.4775
_cell_length_c 4.0145
_cell_angle_alpha 90.00
_cell_angle_beta 90.00
_cell_angle_gamma 90.00
_symmetry_space_group_name_H-M 'P 1'
_symmetry_Int_Tables_number 1
loop_
_symmetry_equiv_pos_as_xyz
'x,y,z'
loop_
_atom_site_label
_atom_site_type_symbol
_atom_site_fract_x
_atom_site_fract_y
_atom_site_fract_z
Bi1 Bi 0.0000 0.0000 0.0000
As1 As 0.5000 0.5000 0.5000
O1 O 0.5000 0.5000 0.0000
F1 F 0.0000 0.5000 0.5000
F2 F 0.5000 0.0000 0.5000
```



# 2
Entry from the Alexandria database: a relaxed CeSm2UTc2 crystal (PBE).

The space group is No. 72. For the total energy, the calculation gives -7.8901 eV per atom.

Geometry as CIF:
```
data_CeSm2UTc2
_cell_length_a 8.0102
_cell_length_b 8.0102
_cell_length_c 8.0102
_cell_angle_alpha 125.60
_cell_angle_beta 78.90
_cell_angle_gamma 127.62
_symmetry_space_group_name_H-M 'P 1'
_symmetry_Int_Tables_number 1
loop_
_symmetry_equiv_pos_as_xyz
'x,y,z'
loop_
_atom_site_label
_atom_site_type_symbol
_atom_site_fract_x
_atom_site_fract_y
_atom_site_fract_z
Ce1 Ce 0.2500 0.2500 0.0000
Ce2 Ce 0.7500 0.7500 0.0000
Sm1 Sm 0.2012 0.7155 0.9167
Sm2 Sm 0.2988 0.2155 0.5143
Sm3 Sm 0.7012 0.7845 0.4857
Sm4 Sm 0.7988 0.2845 0.0833
U1 U 0.2500 0.7500 0.5000
U2 U 0.7500 0.2500 0.5000
Tc1 Tc 0.0549 0.2674 0.3223
Tc2 Tc 0.4451 0.7674 0.2125
Tc3 Tc 0.5549 0.2326 0.7875
Tc4 Tc 0.9451 0.7326 0.6777
```



# 3
Entry from the Alexandria database: a relaxed Dy8Sb2Te crystal (PBE).

The space group is No. 12. The formation energy (no corrections) comes out at -0.59 eV/atom.

Geometry as CIF:
```
data_Dy8Sb2Te
_cell_length_a 9.2223
_cell_length_b 9.2223
_cell_length_c 9.2100
_cell_angle_alpha 95.54
_cell_angle_beta 95.54
_cell_angle_gamma 25.43
_symmetry_space_group_name_H-M 'P 1'
_symmetry_Int_Tables_number 1
loop_
_symmetry_equiv_pos_as_xyz
'x,y,z'
loop_
_atom_site_label
_atom_site_type_symbol
_atom_site_fract_x
_atom_site_fract_y
_atom_site_fract_z
Dy1 Dy 0.0139 0.0139 0.2460
Dy2 Dy 0.2114 0.2114 0.3542
Dy3 Dy 0.3331 0.3331 0.9743
Dy4 Dy 0.4055 0.4055 0.4580
Dy5 Dy 0.5945 0.5945 0.5420
Dy6 Dy 0.6669 0.6669 0.0257
Dy7 Dy 0.7886 0.7886 0.6458
Dy8 Dy 0.9861 0.9861 0.7540
Sb1 Sb 0.1745 0.1745 0.7739
Sb2 Sb 0.8255 0.8255 0.2261
Te1 Te 0.5000 0.5000 0.0000
```



# 4
Entry from the Alexandria database: a relaxed Ga2GeBi crystal (PBE).

The space group is No. 123. For the total energy, the calculation gives -3.4552 eV per atom.

Geometry as CIF:
```
data_Ga2GeBi
_cell_length_a 4.6800
_cell_length_b 4.6800
_cell_length_c 4.1770
_cell_angle_alpha 90.00
_cell_angle_beta 90.00
_cell_angle_gamma 90.00
_symmetry_space_group_name_H-M 'P 1'
_symmetry_Int_Tables_number 1
loop_
_symmetry_equiv_pos_as_xyz
'x,y,z'
loop_
_atom_site_label
_atom_site_type_symbol
_atom_site_fract_x
_atom_site_fract_y
_atom_site_fract_z
Ga1 Ga 0.0000 0.5000 0.0000
Ga2 Ga 0.5000 0.0000 0.0000
Ge1 Ge 0.0000 0.0000 0.5000
Bi1 Bi 0.5000 0.5000 0.5000
```